{"formula": "CaInBiAu", "functional": "PBE-GGA", "state": "optimized geometry", "lattice": [[-4.826, -1.590, 1.550], [-1.011, -5.175, 0.646], [-0.705, -1.980, 4.879]], "species": ["Ca", "Au", "Bi", "In"], "frac_coords": [[0.750, 0.750, 0.750], [0.000, 0.000, 0.000], [0.500, 0.500, 0.500], [0.250, 0.250, 0.250]], "total_energy_ev_per_atom": -3.34, "space_group": "F-43m, No. 216", "total_magnetization_mub_per_cell": 0.00, "mass_density_g_cm3": 8.8}